## MgIn2Bi (GGA-PBE)

Data for a relaxed MgIn2Bi crystal.

Calculated values
Energy above the most stable polymorph in this dataset   4.2 kJ/mol of atoms

Cell lengths 3.513, 3.513, 8.778 Å; angles 90.00, 90.00, 90.00 degrees
Space group P4/mmm (No. 123)
Symmetry-distinct sites (fractional):
Mg (0.000, 0.000, 0.000) [1 per cell]
In (0.500, 0.500, 0.229) [2 per cell]
Bi (0.000, 0.000, 0.500) [1 per cell]


## La6Tl2Bi (GGA-PBE)

Data for a relaxed La6Tl2Bi crystal.

Cell lengths 9.6366, 9.6366, 3.4078 Å; angles 90.00, 90.00, 120.00 degrees
Space group P6/mmm (No. 191)
Symmetry-distinct sites (fractional):
La (0.0000, 0.3355, 0.0000) [6 per cell]
Tl (0.3333, 0.6667, 0.5000) [2 per cell]
Bi (0.0000, 0.0000, 0.5000) [1 per cell]


Number 1: energy relative to the elements 0.004 eV per atom. Number 2: energy relative to the elements -0.180 eV per atom.